# CaIn2Te2

CaIn2Te2 after structural relaxation (GGA-PBE, the Alexandria database).

```
CaIn2Te2
1.0
-2.399 -5.426 -0.070
0.817 -0.437 5.861
-4.937 -1.108 3.609
Te In Ca
2 2 1
direct
0.250 0.750 0.500 Te
0.750 0.250 0.500 Te
0.346 0.346 0.308 In
0.654 0.654 0.692 In
0.000 0.000 0.000 Ca
```

- uncorrected formation energy (kcal/mol of atoms) = -10.5
- theoretical density (Mg/m³) = 5.40
- DOS at the Fermi energy (states/eV/f.u.) = 1.9
- symmetry = I4/mmm
- excess energy over the best structure of this formula in the dataset (meV/atom) = 85
- total moment (μB/cell) = 0.00

=====

# Ce4Ge2Pd

Ce4Ge2Pd after structural relaxation (GGA-PBE, the Alexandria database).

```
Ce4Ge2Pd
1.0
4.381 0.000 0.000
0.000 6.010 -0.947
0.000 0.361 6.074
Ge Ce Pd
2 4 1
direct
0.000 0.686 0.314 Ge
0.000 0.314 0.686 Ge
0.000 0.170 0.170 Ce
0.000 0.830 0.830 Ce
0.500 0.000 0.500 Ce
0.500 0.500 0.000 Ce
0.500 0.500 0.500 Pd
```

- theoretical density (Mg/m³) = 8.35
- DOS at the Fermi energy (states/eV/f.u.) = 16.2
- symmetry = Cmmm
- excess energy over the best structure of this formula in the dataset (meV/atom) = 0
- total moment (μB/cell) = 2.46
- energy of formation from the pure elements (eV per formula unit) = -3.46

=====

# BeAlIr4

BeAlIr4 after structural relaxation (GGA-PBE, the Alexandria database).

```
BeAlIr4
1.0
0.000 3.624 3.624
3.624 0.000 3.624
3.624 3.624 0.000
Ir Al Be
4 1 1
direct
0.375 0.375 0.375 Ir
0.375 0.375 0.876 Ir
0.876 0.375 0.375 Ir
0.375 0.876 0.375 Ir
0.750 0.750 0.750 Al
0.000 0.000 0.000 Be
```

- theoretical density (Mg/m³) = 14.04
- DOS at the Fermi energy (states/eV/f.u.) = 4.7
- symmetry = F-43m
- total moment (μB/cell) = 0.00
- energy of formation from the pure elements (eV per formula unit) = 2.21

=====

# Nd8GaSe6

Nd8GaSe6 after structural relaxation (GGA-PBE, the Alexandria database).

```
Nd8GaSe6
1.0
-1.551 3.933 0.200
-9.549 -3.933 3.317
7.605 2.629 7.274
Nd Se Ga
8 6 1
direct
0.252 0.681 0.966 Nd
0.252 0.285 0.319 Nd
0.252 0.034 0.715 Nd
0.748 0.319 0.034 Nd
0.749 0.333 0.667 Nd
0.748 0.966 0.285 Nd
0.251 0.667 0.333 Nd
0.748 0.715 0.681 Nd
0.251 0.130 0.483 Se
0.251 0.517 0.647 Se
0.749 0.870 0.517 Se
0.749 0.483 0.353 Se
0.251 0.353 0.870 Se
0.749 0.647 0.130 Se
0.500 0.000 0.000 Ga
```

- uncorrected formation energy (kcal/mol of atoms) = -31.0
- theoretical density (Mg/m³) = 6.54
- DOS at the Fermi energy (states/eV/f.u.) = 13.7
- symmetry = P-3
- total moment (μB/cell) = 0.00

=====

# Th4Te4Se

Th4Te4Se after structural relaxation (GGA-PBE, the Alexandria database).

```
Th4Te4Se
1.0
-3.712 -2.130 -0.084
1.189 -6.527 3.906
-3.716 1.829 8.750
Te Se Th
4 1 4
direct
0.679 0.422 0.219 Te
0.099 0.209 0.594 Te
0.901 0.791 0.406 Te
0.321 0.578 0.781 Te
0.500 0.000 0.000 Se
0.096 0.723 0.086 Th
0.904 0.277 0.914 Th
0.692 0.899 0.717 Th
0.308 0.101 0.283 Th
```

- uncorrected formation energy (kcal/mol of atoms) = -28.9
- theoretical density (Mg/m³) = 8.59
- DOS at the Fermi energy (states/eV/f.u.) = 5.6
- symmetry = C2/m
- total moment (μB/cell) = 0.00

=====

# V3CuRe

V3CuRe after structural relaxation (GGA-PBE, the Alexandria database).

```
V3CuRe
1.0
-2.274 3.160 2.371
-2.897 0.526 -3.479
-2.686 -3.243 1.746
V Re Cu
3 1 1
direct
0.000 0.500 0.000 V
0.000 0.000 0.500 V
0.500 0.000 0.000 V
0.000 0.000 0.000 Re
0.500 0.500 0.500 Cu
```

- theoretical density (Mg/m³) = 7.06
- DOS at the Fermi energy (states/eV/f.u.) = 6.1
- symmetry = Pm-3m
- excess energy over the best structure of this formula in the dataset (meV/atom) = 0
- total moment (μB/cell) = 0.00
- energy of formation from the pure elements (eV per formula unit) = 6.65

=====

# Cr2SiPtRh

Cr2SiPtRh after structural relaxation (GGA-PBE, the Alexandria database).

```
Cr2SiPtRh
1.0
-2.560 -2.582 2.708
-1.062 -2.978 -3.843
3.615 -2.555 0.980
Si Pt Cr Rh
1 1 2 1
direct
0.500 0.500 0.500 Si
0.000 0.500 0.000 Pt
0.500 0.000 0.000 Cr
0.000 0.000 0.500 Cr
0.000 0.000 0.000 Rh
```

- uncorrected formation energy (kcal/mol of atoms) = 28.3
- theoretical density (Mg/m³) = 6.98
- DOS at the Fermi energy (states/eV/f.u.) = 5.3
- symmetry = P4/mmm
- total moment (μB/cell) = 6.46

=====

# BaMn2

BaMn2 after structural relaxation (GGA-PBE, the Alexandria database).

```
BaMn2
1.0
2.118 6.332 1.848
-2.118 6.332 1.848
0.000 4.284 6.850
Ba Mn
2 4
direct
0.436 0.436 0.287 Ba
0.564 0.564 0.713 Ba
0.245 0.245 0.890 Mn
0.136 0.136 0.295 Mn
0.864 0.864 0.705 Mn
0.755 0.755 0.110 Mn
```

- theoretical density (Mg/m³) = 5.47
- DOS at the Fermi energy (states/eV/f.u.) = 3.7
- symmetry = C2/m
- total moment (μB/cell) = 1.67
- energy of formation from the pure elements (eV per formula unit) = 1.61